1.
Nd2Sm2Dy4Er after structural relaxation. Source: the Alexandria database, functional PBE.

Output
The formation energy from the elements comes out at 4 meV per atom. The value obtained for the calculated total energy is -4.66 eV per atom. The total moment is 0.00 μB/cell.

a b c (Å): 18.782 3.620 9.626
angles (deg): 90.00 115.71 90.00
Space group C2/m (No. 12)
Symmetry-distinct sites (fractional):
Nd 0.165 0.000 0.000 x4
Sm 0.147 0.500 0.663 x4
Dy 0.019 0.000 0.332 x4
Dy 0.185 0.500 0.335 x4
Er 0.000 0.500 0.000 x2

2.
LaMn3Rh after structural relaxation. Source: the Alexandria database, functional PBE.

Output
The formation energy from the elements comes out at 1737 meV per atom. The value obtained for the calculated total energy is -6.22 eV per atom. The total moment is 8.38 μB/cell. For the energy relative to the lowest polymorph listed for this composition, the calculation gives 1316 meV per atom.

a b c (Å): 4.562 4.562 4.562
angles (deg): 90.00 90.00 90.00
Space group Pm-3m (No. 221)
Symmetry-distinct sites (fractional):
La 0.000 0.000 0.000 x1
Mn 0.000 0.000 0.500 x3
Rh 0.500 0.500 0.500 x1

3.
BeAsPt2 after structural relaxation. Source: the Alexandria database, functional PBE.

Output
The formation energy from the elements comes out at -347 meV per atom. The value obtained for the calculated total energy is -5.46 eV per atom. The total moment is 0.00 μB/cell.

a b c (Å): 2.869 2.869 6.933
angles (deg): 90.00 90.00 90.00
Space group P4/mmm (No. 123)
Symmetry-distinct sites (fractional):
Be 0.000 0.000 0.000 x1
As 0.000 0.000 0.500 x1
Pt 0.500 0.500 0.202 x2

4.
Ho3Si2Ni3 after structural relaxation. Source: the Alexandria database, functional PBE.

Output
The value obtained for the formation energy without anion corrections is -0.73 eV per atom. The value obtained for the calculated total energy is -5.97 eV per atom. The total moment is 0.00 μB/cell.

a b c (Å): 7.253 14.325 5.512
angles (deg): 90.00 90.00 90.00
Space group Pnma (No. 62)
Symmetry-distinct sites (fractional):
Ho 0.026 0.108 0.144 x8
Ho 0.161 0.250 0.619 x4
Si 0.129 0.599 0.358 x8
Ni 0.164 0.036 0.593 x8
Ni 0.188 0.750 0.584 x4

5.
YTl2Pt after structural relaxation. Source: the Alexandria database, functional PBE.

Output
The formation energy from the elements comes out at -363 meV per atom. The value obtained for the calculated total energy is -4.67 eV per atom. The total moment is 0.00 μB/cell.

a b c (Å): 4.877 4.890 7.846
angles (deg): 90.00 90.00 90.00
Space group Imm2 (No. 44)
Symmetry-distinct sites (fractional):
Y 0.000 0.000 0.000 x2
Tl 0.000 0.000 0.499 x2
Tl 0.000 0.500 0.250 x2
Pt 0.000 0.500 0.750 x2

6.
Nd5Cu2Ag after structural relaxation. Source: the Alexandria database, functional PBE.

Output
The formation energy from the elements comes out at -108 meV per atom. The value obtained for the calculated total energy is -4.47 eV per atom. The total moment is 0.00 μB/cell.

a b c (Å): 7.375 7.375 16.108
angles (deg): 90.00 90.00 90.00
Space group I4/mcm (No. 140)
Symmetry-distinct sites (fractional):
Nd 0.000 0.000 0.000 x4
Nd 0.165 0.335 0.147 x16
Cu 0.120 0.380 0.500 x8
Ag 0.000 0.000 0.250 x4